[1]
A plane-wave DFT calculation with GGA-PBEsol was carried out for an optimized crystal structure of Nd12Cu6O25.

Summary:
**Volume**: 12.44 A^3/atom
**Magnetization**: 0.0 μB/f.u.
**Raw formation energy**: -2.54 eV/atom

Cell lengths 8.6914, 8.6914, 18.1775 Å; angles 110.39, 110.39, 24.64 degrees
Last column: nearest neighbours and their distance in Å.
Positions (direct):
Nd  0.0317  0.0317  0.2355  7 O 2.36-2.61
Nd  0.1444  0.1444  0.1040  3 O 2.25-2.41
Nd  0.1683  0.1683  0.9219  5 O 2.26-2.50
Nd  0.2393  0.2393  0.4026  4 O 2.30-2.54
Nd  0.3476  0.3476  0.2673  4 O 2.29-2.56
Nd  0.4472  0.4472  0.5706  7 O 2.33-2.59
Nd  0.5528  0.5528  0.4294  7 O 2.33-2.59
Nd  0.6524  0.6524  0.7327  4 O 2.29-2.56
Nd  0.7607  0.7607  0.5974  4 O 2.30-2.54
Nd  0.8317  0.8317  0.0781  5 O 2.26-2.50
Nd  0.8556  0.8556  0.8960  3 O 2.25-2.41
Nd  0.9683  0.9683  0.7645  7 O 2.36-2.61
Cu  0.1037  0.1037  0.5810  4 O 1.84-1.85
Cu  0.3112  0.3112  0.7478  4 O 1.85-1.92
Cu  0.4839  0.4839  0.0731  4 O 1.85-1.90
Cu  0.5161  0.5161  0.9269  4 O 1.85-1.90
Cu  0.6888  0.6888  0.2522  4 O 1.85-1.92
Cu  0.8963  0.8963  0.4190  4 O 1.84-1.85
O  0.0000  0.0000  0.5000  2 Cu 1.85
O  0.0179  0.0179  0.9123  2 Cu 1.88
O  0.0265  0.0265  0.6645  1 Cu 2.33, 3 Nd 2.36-2.56
O  0.1700  0.1700  0.4904  1 Nd 2.30, 1 Cu 2.30
O  0.1876  0.1876  0.2531  2 Cu 1.85
O  0.2090  0.2090  0.6591  2 Cu 1.84-1.90
O  0.2250  0.2250  0.8149  1 Cu 2.21, 3 Nd 2.42-2.46
O  0.2504  0.2504  0.0572  4 Nd 2.25-2.36
O  0.3745  0.3745  0.6577  1 Cu 2.26, 1 Nd 2.33
O  0.3845  0.3845  0.9867  1 Cu 1.85
O  0.3965  0.3965  0.4181  2 Cu 1.85
O  0.4154  0.4154  0.8366  2 Cu 1.90-1.92
O  0.4297  0.4297  0.1910  3 Nd 2.29-2.47
O  0.5703  0.5703  0.8090  3 Nd 2.29-2.47
O  0.5846  0.5846  0.1634  2 Cu 1.90-1.92
O  0.6035  0.6035  0.5819  2 Cu 1.85
O  0.6155  0.6155  0.0133  1 Cu 1.85
O  0.6255  0.6255  0.3423  1 Cu 2.26, 1 Nd 2.33
O  0.7496  0.7496  0.9428  4 Nd 2.25-2.36
O  0.7750  0.7750  0.1851  1 Cu 2.21, 3 Nd 2.42-2.46
O  0.7910  0.7910  0.3409  2 Cu 1.84-1.90
O  0.8124  0.8124  0.7469  2 Cu 1.85
O  0.8300  0.8300  0.5096  1 Nd 2.30, 1 Cu 2.30
O  0.9735  0.9735  0.3355  1 Cu 2.33, 3 Nd 2.36-2.56
O  0.9821  0.9821  0.0877  2 Cu 1.88

[2]
A plane-wave DFT calculation with GGA-PBEsol was carried out for an optimized crystal structure of Nd5Cu5O13.

Summary:
**Volume**: 11.44 A^3/atom
**Magnetization**: 0.0 μB/f.u.
**Raw formation energy**: -2.11 eV/atom

Cell lengths 8.3528, 8.3528, 3.7730 Å; angles 90.00, 90.00, 90.00 degrees
Last column: nearest neighbours and their distance in Å.
Positions (direct):
Nd  0.0000  0.0000  0.0000  12 O 2.70-2.71
Nd  0.2392  0.6558  0.0000  9 O 2.46-2.73
Nd  0.3442  0.2392  0.0000  9 O 2.46-2.73
Nd  0.6558  0.7608  0.0000  9 O 2.46-2.73
Nd  0.7608  0.3442  0.0000  9 O 2.46-2.73
Cu  0.0629  0.3403  0.5000  4 O 1.89-1.90
Cu  0.3403  0.9371  0.5000  4 O 1.89-1.90
Cu  0.5000  0.5000  0.5000  6 O 1.89-2.06
Cu  0.6597  0.0629  0.5000  4 O 1.89-1.90
Cu  0.9371  0.6597  0.5000  4 O 1.89-1.90
O  0.0614  0.3192  0.0000  2 Cu 1.89
O  0.1150  0.7987  0.5000  1 Cu 1.89
O  0.2013  0.1150  0.5000  1 Cu 1.89
O  0.2572  0.4584  0.5000  2 Cu 1.90-2.06
O  0.3192  0.9386  0.0000  2 Cu 1.89
O  0.4584  0.7428  0.5000  2 Cu 1.90-2.06
O  0.5000  0.5000  0.0000  2 Cu 1.89
O  0.5416  0.2572  0.5000  2 Cu 1.90-2.06
O  0.6808  0.0614  0.0000  2 Cu 1.89
O  0.7428  0.5416  0.5000  2 Cu 1.90-2.06
O  0.7987  0.8850  0.5000  1 Cu 1.89
O  0.8850  0.2013  0.5000  1 Cu 1.89
O  0.9386  0.6808  0.0000  2 Cu 1.89